Entry 1:
A plane-wave DFT calculation with PBE was carried out for a relaxed RbPrSm4S8 crystal. Values from VASP.

```
&SYSTEM
  ibrav = 0, nat = 14, ntyp = 4
/
ATOMIC_SPECIES
Rb 85.47 Rb.upf
Pr 140.91 Pr.upf
Sm 150.36 Sm.upf
S 32.06 S.upf
CELL_PARAMETERS angstrom
4.219 2.436 6.976
-4.219 2.436 6.976
0.000 -4.872 6.976
ATOMIC_POSITIONS angstrom
Rb 0.000 0.000 0.000
Pr 0.000 0.000 7.713
Sm 0.000 -2.515 11.319
Sm -2.178 1.258 11.319
Sm 0.000 0.000 15.643
Sm 2.178 1.258 11.319
S 0.000 -2.099 5.889
S -1.818 1.050 5.889
S 0.000 0.000 2.971
S -2.004 -1.157 9.613
S 1.818 1.050 5.889
S 0.000 0.000 12.888
S 2.004 -1.157 9.613
S 0.000 2.314 9.613
```

Results
Energy relative to the elements, uncorrected, meV/atom: -1887
Symmetry: R3m
Uncorrected energy, eV per atom: -6.00
Total magnetic moment, μB/f.u.: 0.0

---

Entry 2:
A plane-wave DFT calculation with PBE was carried out for a relaxed Rb3Pr2SmS6 crystal. Values from VASP.

```
&SYSTEM
  ibrav = 0, nat = 12, ntyp = 4
/
ATOMIC_SPECIES
Rb 85.47 Rb.upf
Pr 140.91 Pr.upf
Sm 150.36 Sm.upf
S 32.06 S.upf
CELL_PARAMETERS angstrom
3.663 -6.344 0.000
3.663 6.344 0.000
-2.442 0.000 7.722
ATOMIC_POSITIONS angstrom
Rb 0.000 0.000 0.000
Rb 3.663 2.122 0.000
Rb 3.663 -2.122 0.000
Pr 2.442 4.230 3.861
Pr 2.442 -4.230 3.861
Sm 2.442 0.000 3.861
S 1.238 2.085 2.337
S 0.035 0.000 5.386
S 1.238 -2.085 2.337
S 3.645 2.085 5.385
S 4.848 0.000 2.336
S 3.645 -2.085 5.385
```

Results
Energy relative to the elements, uncorrected, meV/atom: -1823
Symmetry: C2/m
Uncorrected energy, eV per atom: -5.32
Total magnetic moment, μB/f.u.: 0.0